1.
Ti3Cu2Pd8: optimized geometry, GGA-PBE.

Cell lengths 5.237, 5.237, 9.524 Å; angles 74.04, 74.04, 60.00 degrees
Sites, in units of the cell vectors:
Ti1 0.000 0.000 0.000
Ti2 0.811 0.811 0.567
Ti3 0.189 0.189 0.433
Cu1 0.634 0.634 0.099
Cu2 0.366 0.366 0.901
Pd1 0.722 0.722 0.834
Pd2 0.278 0.278 0.166
Pd3 0.224 0.723 0.331
Pd4 0.723 0.224 0.331
Pd5 0.723 0.723 0.331
Pd6 0.277 0.776 0.669
Pd7 0.776 0.277 0.669
Pd8 0.277 0.277 0.669

Properties
M_tot   1.0 Bohr magnetons per cell
Formation enthalpy at 0 K   -0.15 eV/atom
SG   R-3m, No. 166
Energy   -5.798 eV/atom

=====

2.
LaSnB12: optimized geometry, GGA-PBE.

Cell lengths 5.908, 5.908, 5.908 Å; angles 60.00, 60.00, 60.00 degrees
Sites, in units of the cell vectors:
La1 0.000 0.000 0.000
Sn1 0.500 0.500 0.500
B1 0.900 0.900 0.600
B2 0.400 0.400 0.100
B3 0.600 0.900 0.600
B4 0.100 0.400 0.100
B5 0.900 0.600 0.600
B6 0.400 0.100 0.100
B7 0.900 0.600 0.900
B8 0.400 0.100 0.400
B9 0.600 0.900 0.900
B10 0.100 0.400 0.400
B11 0.600 0.600 0.900
B12 0.100 0.100 0.400

Properties
M_tot   0.0 Bohr magnetons per cell
Formation enthalpy at 0 K   -0.18 eV/atom
SG   Fm-3m, No. 225
Energy   -6.542 eV/atom

=====

3.
RbIn3Ga3: optimized geometry, GGA-PBE.

Cell lengths 7.766, 7.766, 7.766 Å; angles 90.00, 90.00, 90.00 degrees
Sites, in units of the cell vectors:
Ga1 0.000 0.250 0.500
Ga2 0.000 0.750 0.500
Ga3 0.500 0.000 0.750
Ga4 0.750 0.500 0.000
Ga5 0.500 0.000 0.250
Ga6 0.250 0.500 0.000
Rb1 0.500 0.500 0.500
Rb2 0.000 0.000 0.000
In1 0.250 0.000 0.500
In2 0.000 0.500 0.250
In3 0.500 0.750 0.000
In4 0.750 0.000 0.500
In5 0.000 0.500 0.750
In6 0.500 0.250 0.000

Properties
M_tot   0.0 Bohr magnetons per cell
Formation enthalpy at 0 K   0.06 eV/atom
SG   Pm-3n, No. 223
Distance to the lowest polymorph of the same formula   0.00 eV per formula unit
Energy   -2.545 eV/atom

=====

4.
MoRh3Au: optimized geometry, GGA-PBE.

Cell lengths 4.653, 4.653, 4.653 Å; angles 90.00, 90.00, 90.00 degrees
Sites, in units of the cell vectors:
Rh1 0.000 0.500 0.000
Rh2 0.000 0.000 0.500
Rh3 0.500 0.000 0.000
Mo1 0.000 0.000 0.000
Au1 0.500 0.500 0.500

Properties
M_tot   0.0 Bohr magnetons per cell
Formation enthalpy at 0 K   1.10 eV/atom
SG   Pm-3m, No. 221
Energy   -6.130 eV/atom

=====

5.
PuAg2TeS2: optimized geometry, GGA-PBE.

Cell lengths 5.312, 7.013, 7.603 Å; angles 97.26, 90.00, 90.00 degrees
Sites, in units of the cell vectors:
Pu1 0.250 0.055 0.812
Pu2 0.750 0.945 0.188
Ag1 0.250 0.185 0.390
Ag2 0.250 0.485 0.674
Ag3 0.750 0.815 0.610
Ag4 0.750 0.515 0.326
Te1 0.750 0.234 0.596
Te2 0.250 0.766 0.404
S1 0.503 0.250 0.089
S2 0.997 0.250 0.089
S3 0.003 0.750 0.911
S4 0.497 0.750 0.911

Properties
M_tot   10.1 Bohr magnetons per cell
SG   P2_1/m, No. 11
Energy   -5.670 eV/atom
Formation energy from raw total energies   -0.431 eV/atom

=====

6.
SiSb2Se: optimized geometry, GGA-PBE.

Cell lengths 4.063, 5.090, 5.090 Å; angles 70.36, 90.00, 90.00 degrees
Sites, in units of the cell vectors:
Sb1 0.000 0.978 0.978
Sb2 0.000 0.522 0.522
Se1 0.500 0.250 0.250
Si1 0.500 0.750 0.750

Properties
M_tot   0.0 Bohr magnetons per cell
SG   Cmmm, No. 65
Distance to the lowest polymorph of the same formula   0.22 eV per formula unit
Energy   -4.153 eV/atom
Formation energy from raw total energies   0.135 eV/atom

=====

M_tot of number 2 (LaSnB12)?
0.0 Bohr magnetons per cell